1.
VASP calculation (PBE) on Mn7Ni6Pt16 after structural relaxation.

## Properties
**Energy relative to the elements**: -0.0173 eV/atom
**Total DFT energy (no corrections)**: -6.76 eV/atom

a b c (Å): 12.137 12.137 12.137
angles (deg): 90.00 90.00 90.00
Space group Fm-3m (No. 225)
One atom of each set of equivalent atoms:
Mn1 0.000 0.000 0.000 [4 per cell]
Mn2 0.000 0.250 0.250 [24 per cell]
Ni1 0.000 0.000 0.350 [24 per cell]
Pt1 0.120 0.120 0.120 [32 per cell]
Pt2 0.153 0.153 0.347 [32 per cell]



2.
VASP calculation (PBE) on Mg2Si5Pt3 after structural relaxation.

## Properties
**Total DFT energy (no corrections)**: -5.35 eV/atom

a b c (Å): 3.990 23.361 6.868
angles (deg): 90.00 90.00 90.00
Space group Cmc2_1 (No. 36)
One atom of each set of equivalent atoms:
Mg1 0.000 0.021 0.000 [4 per cell]
Mg2 0.000 0.326 0.058 [4 per cell]
Si1 0.000 0.105 0.385 [4 per cell]
Si2 0.000 0.207 0.269 [4 per cell]
Si3 0.000 0.208 0.848 [4 per cell]
Si4 0.000 0.383 0.486 [4 per cell]
Si5 0.000 0.453 0.161 [4 per cell]
Pt1 0.000 0.109 0.750 [4 per cell]
Pt2 0.000 0.275 0.556 [4 per cell]
Pt3 0.000 0.446 0.787 [4 per cell]



3.
VASP calculation (PBE) on SrPdSe after structural relaxation.

## Properties
**Total DFT energy (no corrections)**: -4.66 eV/atom

a b c (Å): 6.094 6.092 8.397
angles (deg): 90.00 111.25 90.00
Space group Cc (No. 9)
One atom of each set of equivalent atoms:
Sr1 0.000 0.125 0.000 [4 per cell]
Pd1 0.081 0.375 0.662 [4 per cell]
Se1 0.418 0.126 0.836 [4 per cell]